{"formula": "MnAlNi2", "functional": "PBEsol", "state": "optimized geometry", "lattice_angstrom": [[2.855, 0.000, 0.000], [0.000, 4.029, -0.036], [-1.428, -1.396, 4.077]], "species": ["Ni", "Ni", "Al", "Mn"], "fractional_positions": [[0.001, 0.038, 0.002], [0.247, 0.711, 0.494], [0.506, 0.541, 0.012], [0.746, 0.210, 0.492]], "final_energy_ev_per_cell": -27.20, "space_group": "Cm", "density_g_cm3": 7.08, "crystal_system": "monoclinic"}